# Cs2TeN2

A geometry-optimized Cs2TeN2 structure (PBE-GGA, Alexandria).

Values from the calculation:
- space-group type = R-3m
- VASP energy (eV per atom) = -4.920
- total magnetization (μB per formula unit) = 0.0
- formation energy without anion corrections (eV per atom) = -0.62
- crystal system = trigonal

a = 6.400 Å, b = 6.444 Å, c = 6.402 Å
α = 60.16°, β = 60.01°, γ = 60.22°
Fractional coordinates of all 5 atoms:
Cs1 0.250 0.249 0.251
Cs2 0.750 0.751 0.749
Te1 0.000 0.000 0.000
N1 0.536 0.394 0.535
N2 0.464 0.606 0.465

***

# CsPdF

A geometry-optimized CsPdF structure (PBE-GGA, Alexandria).

Values from the calculation:
- space-group type = Cmcm
- VASP energy (eV per atom) = -3.513
- total magnetization (μB per formula unit) = 0.0
- formation energy without anion corrections (eV per atom) = -0.87
- crystal system = orthorhombic

a = 11.687 Å, b = 6.559 Å, c = 4.031 Å
α = 90.00°, β = 90.00°, γ = 90.00°
Fractional coordinates of all 12 atoms:
Cs1 0.623 0.250 0.000
Cs2 0.877 0.750 0.500
Cs3 0.377 0.750 0.000
Cs4 0.123 0.250 0.500
Pd1 0.354 0.250 0.500
Pd2 0.146 0.750 0.000
Pd3 0.646 0.750 0.500
Pd4 0.854 0.250 0.000
F1 0.000 0.000 0.000
F2 0.500 0.500 0.500
F3 0.500 0.000 0.500
F4 0.000 0.500 0.000

***

# Nb3AsH2

A geometry-optimized Nb3AsH2 structure (PBE-GGA, Alexandria).

Values from the calculation:
- space-group type = P2_1/m
- VASP energy (eV per atom) = -7.216
- total magnetization (μB per formula unit) = 0.0
- crystal system = monoclinic

a = 3.351 Å, b = 5.054 Å, c = 9.192 Å
α = 87.81°, β = 90.00°, γ = 90.00°
Fractional coordinates of all 12 atoms:
Nb1 0.750 0.006 0.147
Nb2 0.250 0.994 0.853
Nb3 0.750 0.512 0.879
Nb4 0.250 0.488 0.121
Nb5 0.250 0.260 0.427
Nb6 0.750 0.740 0.573
As1 0.250 0.769 0.350
As2 0.750 0.231 0.650
H1 0.250 0.345 0.930
H2 0.750 0.655 0.070
H3 0.750 0.306 0.282
H4 0.250 0.694 0.718

***

# PmNdSmAg

A geometry-optimized PmNdSmAg structure (PBE-GGA, Alexandria).

Values from the calculation:
- space-group type = P4mm
- VASP energy (eV per atom) = -4.385
- total magnetization (μB per formula unit) = 0.0
- crystal system = tetragonal

a = 3.705 Å, b = 3.705 Å, c = 8.848 Å
α = 90.00°, β = 90.00°, γ = 90.00°
Fractional coordinates of all 4 atoms:
Pm1 0.500 0.500 0.359
Nd1 0.000 0.000 0.070
Sm1 0.500 0.500 0.782
Ag1 0.000 0.000 0.573

***

# PrY2Ga2Ag2

A geometry-optimized PrY2Ga2Ag2 structure (PBE-GGA, Alexandria).

Values from the calculation:
- space-group type = R-3m
- VASP energy (eV per atom) = -4.596
- total magnetization (μB per formula unit) = 0.0
- crystal system = trigonal

a = 4.657 Å, b = 4.657 Å, c = 9.507 Å
α = 75.82°, β = 75.82°, γ = 60.00°
Fractional coordinates of all 7 atoms:
Pr1 0.000 0.000 0.000
Y1 0.127 0.127 0.620
Y2 0.873 0.873 0.380
Ga1 0.745 0.745 0.765
Ga2 0.255 0.255 0.235
Ag1 0.595 0.595 0.214
Ag2 0.405 0.405 0.786

***

# Pu3NpO7

A geometry-optimized Pu3NpO7 structure (PBE-GGA, Alexandria).

Values from the calculation:
- space-group type = Cmcm
- VASP energy (eV per atom) = -11.276
- total magnetization (μB per formula unit) = 11.9
- formation energy without anion corrections (eV per atom) = -3.04
- crystal system = orthorhombic

a = 6.674 Å, b = 6.674 Å, c = 7.773 Å
α = 90.00°, β = 90.00°, γ = 110.00°
Fractional coordinates of all 22 atoms:
Pu1 0.500 0.500 0.500
Pu2 0.500 0.500 0.000
Pu3 0.525 0.002 0.250
Pu4 0.475 0.998 0.750
Pu5 0.002 0.525 0.750
Pu6 0.998 0.475 0.250
Np1 0.000 0.000 0.500
Np2 0.000 0.000 0.000
O1 0.655 0.906 0.526
O2 0.345 0.094 0.026
O3 0.906 0.655 0.474
O4 0.094 0.345 0.974
O5 0.094 0.345 0.526
O6 0.906 0.655 0.026
O7 0.345 0.094 0.474
O8 0.655 0.906 0.974
O9 0.368 0.632 0.250
O10 0.632 0.368 0.750
O11 0.635 0.365 0.250
O12 0.365 0.635 0.750
O13 0.907 0.093 0.250
O14 0.093 0.907 0.750

***

What did the third record say?
# Nb3AsH2

A geometry-optimized Nb3AsH2 structure (PBE-GGA, Alexandria).

Values from the calculation:
- space-group type = P2_1/m
- VASP energy (eV per atom) = -7.216
- total magnetization (μB per formula unit) = 0.0
- crystal system = monoclinic

a = 3.351 Å, b = 5.054 Å, c = 9.192 Å
α = 87.81°, β = 90.00°, γ = 90.00°
Fractional coordinates of all 12 atoms:
Nb1 0.750 0.006 0.147
Nb2 0.250 0.994 0.853
Nb3 0.750 0.512 0.879
Nb4 0.250 0.488 0.121
Nb5 0.250 0.260 0.427
Nb6 0.750 0.740 0.573
As1 0.250 0.769 0.350
As2 0.750 0.231 0.650
H1 0.250 0.345 0.930
H2 0.750 0.655 0.070
H3 0.750 0.306 0.282
H4 0.250 0.694 0.718

***

Repeat the fifth record exactly.
# PrY2Ga2Ag2

A geometry-optimized PrY2Ga2Ag2 structure (PBE-GGA, Alexandria).

Values from the calculation:
- space-group type = R-3m
- VASP energy (eV per atom) = -4.596
- total magnetization (μB per formula unit) = 0.0
- crystal system = trigonal

a = 4.657 Å, b = 4.657 Å, c = 9.507 Å
α = 75.82°, β = 75.82°, γ = 60.00°
Fractional coordinates of all 7 atoms:
Pr1 0.000 0.000 0.000
Y1 0.127 0.127 0.620
Y2 0.873 0.873 0.380
Ga1 0.745 0.745 0.765
Ga2 0.255 0.255 0.235
Ag1 0.595 0.595 0.214
Ag2 0.405 0.405 0.786

***

> What is the formula in the sixth record?

Pu3NpO7